Density functional theory data (PBE) for an optimized crystal structure of Zn6HO6.

Results
As for the crystal system: cubic. The value obtained for the total energy is -0.3109 Ry/atom. The value obtained for the density of states at the Fermi level is 0.030 states/eV per atom.

Structure (CIF):
```
data_Zn6HO6
_chemical_formula_sum 'Zn6 H1 O6'
_symmetry_space_group_name_H-M 'P m -3'
_symmetry_Int_Tables_number 200
_symmetry_space_group_name_Hall '-P 2 2 3'
_cell_length_a 5.673
_cell_length_b 5.673
_cell_length_c 5.673
_cell_angle_alpha 90.00
_cell_angle_beta 90.00
_cell_angle_gamma 90.00
loop_
_atom_site_label
_atom_site_fract_x
_atom_site_fract_y
_atom_site_fract_z
Zn1 0.000 0.250 0.500
H1 0.000 0.000 0.000
O1 0.000 0.500 0.251
```

Density functional theory data (PBE) for an optimized crystal structure of ZnHO.

Results
As for the crystal system: monoclinic. The value obtained for the total energy is -0.3011 Ry/atom. The energy relative to the lowest polymorph listed for this composition is 0 kJ/mol of formula units.

Structure (CIF):
```
data_ZnHO
_chemical_formula_sum 'Zn4 H4 O4'
_symmetry_space_group_name_H-M 'C 1 2/m 1'
_symmetry_Int_Tables_number 12
_cell_length_a 10.122
_cell_length_b 3.294
_cell_length_c 4.722
_cell_angle_alpha 90.00
_cell_angle_beta 113.70
_cell_angle_gamma 90.00
loop_
_symmetry_equiv_pos_as_xyz
'x,y,z'
'-x,-y,-z'
'-x,y,-z'
'x,-y,z'
'x+1/2,y+1/2,z'
'-x+1/2,-y+1/2,-z'
'-x+1/2,y+1/2,-z'
'x+1/2,-y+1/2,z'
loop_
_atom_site_label
_atom_site_fract_x
_atom_site_fract_y
_atom_site_fract_z
Zn1 0.106 0.000 0.450
H1 0.140 0.500 0.031
O1 0.173 0.500 0.256
```

Density functional theory data (PBE) for an optimized crystal structure of Zn2HO3.

Results
As for the crystal system: orthorhombic. The value obtained for the total energy is -0.3215 Ry/atom. The value obtained for the density of states at the Fermi level is 0.510 states/eV per atom.

Structure (CIF):
```
data_Zn2HO3
_chemical_formula_sum 'Zn4 H2 O6'
_symmetry_space_group_name_H-M 'I m m 2'
_symmetry_Int_Tables_number 44
_cell_length_a 3.202
_cell_length_b 8.128
_cell_length_c 5.274
_cell_angle_alpha 90.00
_cell_angle_beta 90.00
_cell_angle_gamma 90.00
loop_
_symmetry_equiv_pos_as_xyz
'x,y,z'
'-x,-y,z'
'-x,y,z'
'x,-y,z'
'x+1/2,y+1/2,z+1/2'
'-x+1/2,-y+1/2,z+1/2'
'-x+1/2,y+1/2,z+1/2'
'x+1/2,-y+1/2,z+1/2'
loop_
_atom_site_label
_atom_site_fract_x
_atom_site_fract_y
_atom_site_fract_z
Zn1 0.000 0.189 0.000
H1 0.000 0.500 0.750
O1 0.000 0.000 0.767
O2 0.000 0.350 0.721
```

Density functional theory data (PBE) for an optimized crystal structure of ZnHO.

Results
As for the crystal system: monoclinic. The value obtained for the total energy is -0.2987 Ry/atom. The energy relative to the lowest polymorph listed for this composition is 9 kJ/mol of formula units.

Structure (CIF):
```
data_ZnHO
_chemical_formula_sum 'Zn4 H4 O4'
_symmetry_space_group_name_H-M 'C 1 2/m 1'
_symmetry_Int_Tables_number 12
_cell_length_a 5.821
_cell_length_b 3.362
_cell_length_c 8.875
_cell_angle_alpha 90.00
_cell_angle_beta 98.98
_cell_angle_gamma 90.00
loop_
_symmetry_equiv_pos_as_xyz
'x,y,z'
'-x,-y,-z'
'-x,y,-z'
'x,-y,z'
'x+1/2,y+1/2,z'
'-x+1/2,-y+1/2,-z'
'-x+1/2,y+1/2,-z'
'x+1/2,-y+1/2,z'
loop_
_atom_site_label
_atom_site_fract_x
_atom_site_fract_y
_atom_site_fract_z
Zn1 0.198 0.000 0.131
H1 0.025 0.000 0.542
O1 0.134 0.000 0.862
```

Density functional theory data (PBE) for an optimized crystal structure of Zn2HO2.

Results
As for the crystal system: orthorhombic. The value obtained for the total energy is -0.2784 Ry/atom. The value obtained for the density of states at the Fermi level is 0.553 states/eV per atom.

Structure (CIF):
```
data_Zn2HO2
_chemical_formula_sum 'Zn16 H8 O16'
_symmetry_space_group_name_H-M 'F d d d'
_symmetry_Int_Tables_number 70
_cell_length_a 6.512
_cell_length_b 7.443
_cell_length_c 8.660
_cell_angle_alpha 90.00
_cell_angle_beta 90.00
_cell_angle_gamma 90.00
loop_
_symmetry_equiv_pos_as_xyz
'x,y,z'
'-x,-y,-z'
'-x+1/4,-y+1/4,z'
'x+1/4,y+1/4,-z'
'x,-y+1/4,-z+1/4'
'-x,y+1/4,z+1/4'
'-x+1/4,y,-z+1/4'
'x+1/4,-y,z+1/4'
'x,y+1/2,z+1/2'
'-x,-y+1/2,-z+1/2'
'-x+1/4,-y+3/4,z+1/2'
'x+1/4,y+3/4,-z+1/2'
'x,-y+3/4,-z+3/4'
'-x,y+3/4,z+3/4'
'-x+1/4,y+1/2,-z+3/4'
'x+1/4,-y+1/2,z+3/4'
'x+1/2,y,z+1/2'
'-x+1/2,-y,-z+1/2'
'-x+3/4,-y+1/4,z+1/2'
'x+3/4,y+1/4,-z+1/2'
'x+1/2,-y+1/4,-z+3/4'
'-x+1/2,y+1/4,z+3/4'
'-x+3/4,y,-z+3/4'
'x+3/4,-y,z+3/4'
'x+1/2,y+1/2,z'
'-x+1/2,-y+1/2,-z'
'-x+3/4,-y+3/4,z'
'x+3/4,y+3/4,-z'
'x+1/2,-y+3/4,-z+1/4'
'-x+1/2,y+3/4,z+1/4'
'-x+3/4,y+1/2,-z+1/4'
'x+3/4,-y+1/2,z+1/4'
loop_
_atom_site_label
_atom_site_fract_x
_atom_site_fract_y
_atom_site_fract_z
Zn1 0.101 0.375 0.375
H1 0.125 0.125 0.625
O1 0.125 0.125 0.299
```

Density functional theory data (PBE) for an optimized crystal structure of Zr4HO.

Results
As for the crystal system: tetragonal. The value obtained for the total energy is -0.5967 Ry/atom. The energy relative to the lowest polymorph listed for this composition is 0 kJ/mol of formula units. The value obtained for the density of states at the Fermi level is 0.649 states/eV per atom.

Structure (CIF):
```
data_Zr4HO
_chemical_formula_sum 'Zr16 H4 O4'
_symmetry_space_group_name_H-M 'I 41 m d'
_symmetry_Int_Tables_number 109
_symmetry_space_group_name_Hall 'I 4bw -2'
_cell_length_a 7.517
_cell_length_b 7.517
_cell_length_c 7.036
_cell_angle_alpha 90.00
_cell_angle_beta 90.00
_cell_angle_gamma 90.00
loop_
_atom_site_label
_atom_site_fract_x
_atom_site_fract_y
_atom_site_fract_z
Zr1 0.000 0.266 0.000
Zr2 0.000 0.288 0.544
H1 0.000 0.000 0.112
O1 0.000 0.000 0.522
```

Calculated total magnetization, 1.0 0.0 1.0 0.0 0.0 0.0 μB per formula unit (same order as the records).